Entry 1:
VASP calculation (PBE-GGA) on an optimized crystal structure of In2PAu.

Computed properties:
Calculated formation energy (kJ per mole of atoms): 14.3
Space-group type: Immm (71)
Total magnetic moment (μB per formula unit): 0.0
DOS(E_F) (states/eV per cell): 1.50

Geometry as POSCAR:
```
In2PAu
1.0
5.252 -0.004 0.061
0.687 5.207 -0.061
-2.229 -3.447 3.277
In P Au
2 1 1
Cartesian
5.885 5.156 0.000 In
3.023 2.649 0.000 In
2.996 -0.424 1.669 P
0.714 2.181 1.608 Au
```

Entry 2:
VASP calculation (PBE-GGA) on an optimized crystal structure of Ho2ErTm5.

Computed properties:
Calculated formation energy (kJ per mole of atoms): 14.0
Space-group type: C2/m (12)
Total magnetic moment (μB per formula unit): 0.0
DOS(E_F) (states/eV per cell): 26.61

Geometry as POSCAR:
```
Ho2ErTm5
1.0
5.525 0.005 -0.026
-2.772 8.056 0.045
0.052 -0.060 11.232
Tm Er Ho
10 2 4
Cartesian
2.809 1.351 10.333 Tm
0.014 6.623 4.766 Tm
0.004 0.746 1.249 Tm
2.787 7.298 6.894 Tm
0.032 6.311 8.451 Tm
2.801 7.255 10.003 Tm
0.019 0.703 4.358 Tm
2.773 1.690 2.801 Tm
-0.004 6.650 0.919 Tm
2.791 1.378 6.486 Tm
0.009 3.649 2.826 Er
2.796 4.352 8.426 Er
0.044 3.380 10.340 Ho
0.026 3.395 6.532 Ho
2.761 4.621 0.912 Ho
2.779 4.606 4.720 Ho
```

Repeat the second record exactly.
VASP calculation (PBE-GGA) on an optimized crystal structure of Ho2ErTm5.

Computed properties:
Calculated formation energy (kJ per mole of atoms): 14.0
Space-group type: C2/m (12)
Total magnetic moment (μB per formula unit): 0.0
DOS(E_F) (states/eV per cell): 26.61

Geometry as POSCAR:
```
Ho2ErTm5
1.0
5.525 0.005 -0.026
-2.772 8.056 0.045
0.052 -0.060 11.232
Tm Er Ho
10 2 4
Cartesian
2.809 1.351 10.333 Tm
0.014 6.623 4.766 Tm
0.004 0.746 1.249 Tm
2.787 7.298 6.894 Tm
0.032 6.311 8.451 Tm
2.801 7.255 10.003 Tm
0.019 0.703 4.358 Tm
2.773 1.690 2.801 Tm
-0.004 6.650 0.919 Tm
2.791 1.378 6.486 Tm
0.009 3.649 2.826 Er
2.796 4.352 8.426 Er
0.044 3.380 10.340 Ho
0.026 3.395 6.532 Ho
2.761 4.621 0.912 Ho
2.779 4.606 4.720 Ho
```

Number 1 is which compound?
In2PAu

Look up the calculated formation energy of the second one.
14.0 kJ per mole of atoms